Record 1
DFT (PBE-GGA) results for RbYSF2 after structural relaxation.

## Properties
Total energy, eV/atom: -5.95
Fermi-level density of states, states/eV per atom: 0.000
Formation energy from raw total energies, eV/atom: -2.8901
Spin magnetization, μB/cell: 0.0

Cell: 4.570 4.570 5.350 Å, 90.00 90.00 90.00°
Fractional coordinates of all 5 atoms:
Y1 0.000 0.000 0.000
S1 0.000 0.000 0.500
Rb1 0.500 0.500 0.500
F1 0.000 0.500 0.000
F2 0.500 0.000 0.000

---

Record 2
DFT (PBE-GGA) results for RbYS2F after structural relaxation.

## Properties
Total energy, eV/atom: -4.07
Fermi-level density of states, states/eV per atom: 0.504
Formation energy from raw total energies, eV/atom: -0.5600
Spin magnetization, μB/cell: 0.9

Cell: 5.186 4.427 5.186 Å, 90.00 90.00 90.00°
Site moments in Bohr magnetons follow the coordinates.
Fractional coordinates of all 5 atoms:
Y1 0.500 0.500 0.500  0.01
S1 0.000 0.000 0.500  0.27
S2 0.500 0.000 0.000  0.16
Rb1 0.000 0.500 0.000  0.00
F1 0.000 0.000 0.000  0.21

---

Record 3
DFT (PBE-GGA) results for Rb2YSF6 after structural relaxation.

## Properties
Total energy, eV/atom: -4.96
Fermi-level density of states, states/eV per atom: 0.444
Formation energy from raw total energies, eV/atom: -2.5888
Spin magnetization, μB/cell: 1.0

Cell: 6.212 6.212 7.055 Å, 63.88 63.88 90.00°
Site moments in Bohr magnetons follow the coordinates.
Fractional coordinates of all 10 atoms:
Y1 0.000 0.000 0.000  0.04
S1 0.500 0.500 0.000  0.55
Rb1 0.750 0.250 0.500  0.00
Rb2 0.250 0.750 0.500  0.00
F1 0.196 0.196 0.607  0.00
F2 0.804 0.804 0.393  0.00
F3 0.248 0.248 0.000  0.04
F4 0.752 0.752 0.000  0.04
F5 0.752 0.248 0.000  0.03
F6 0.248 0.752 0.000  0.03

---

Record 4
DFT (PBE-GGA) results for RbZrS2F after structural relaxation.

## Properties
Total energy, eV/atom: -6.03
Fermi-level density of states, states/eV per atom: 0.000
Formation energy from raw total energies, eV/atom: -2.1004
E above lowest polymorph, meV per atom: 0
Spin magnetization, μB/cell: 0.0

Cell: 3.772 8.024 8.940 Å, 108.10 90.00 90.00°
Fractional coordinates of all 10 atoms:
Rb1 0.250 0.700 0.303
Rb2 0.750 0.300 0.697
Zr1 0.250 0.834 0.827
Zr2 0.750 0.166 0.173
S1 0.750 0.850 0.643
S2 0.750 0.828 0.034
S3 0.250 0.150 0.357
S4 0.250 0.172 0.966
F1 0.250 0.566 0.766
F2 0.750 0.434 0.234

---

Record 5
DFT (PBE-GGA) results for RbZrS2F after structural relaxation.

## Properties
Total energy, eV/atom: -5.91
Fermi-level density of states, states/eV per atom: 0.023
Formation energy from raw total energies, eV/atom: -1.9771
E above lowest polymorph, meV per atom: 123
Spin magnetization, μB/cell: 0.0

Cell: 5.102 5.102 4.355 Å, 90.00 90.00 90.00°
Fractional coordinates of all 5 atoms:
S1 0.000 0.500 0.000
S2 0.500 0.000 0.000
Rb1 0.500 0.500 0.500
Zr1 0.000 0.000 0.000
F1 0.000 0.000 0.500

---

Record 6
DFT (PBE-GGA) results for Rb2ZrSF6 after structural relaxation.

## Properties
Total energy, eV/atom: -5.25
Fermi-level density of states, states/eV per atom: 0.000
Formation energy from raw total energies, eV/atom: -2.6655
Spin magnetization, μB/cell: 2.0

Cell: 6.709 6.709 7.070 Å, 61.67 61.67 90.00°
Site moments in Bohr magnetons follow the coordinates.
Fractional coordinates of all 10 atoms:
S1 0.500 0.500 0.000  1.09
Rb1 0.750 0.250 0.500  0.00
Rb2 0.250 0.750 0.500  0.00
Zr1 0.000 0.000 0.000  0.02
F1 0.194 0.194 0.611  0.00
F2 0.806 0.806 0.389  0.00
F3 0.214 0.214 0.000  0.03
F4 0.786 0.786 0.000  0.03
F5 0.786 0.214 0.000  0.04
F6 0.214 0.786 0.000  0.04

---

Record 7
DFT (PBE-GGA) results for RbSbF2 after structural relaxation.

## Properties
Total energy, eV/atom: -4.18
Fermi-level density of states, states/eV per atom: 0.166
Formation energy from raw total energies, eV/atom: -1.9696
E above lowest polymorph, meV per atom: 0
Spin magnetization, μB/cell: 0.0

Cell: 8.097 8.097 8.097 Å, 26.52 26.52 26.52°
Fractional coordinates of all 4 atoms:
Sb1 0.000 0.000 0.000
Rb1 0.500 0.500 0.500
F1 0.906 0.906 0.906
F2 0.094 0.094 0.094

---

Record 8
DFT (PBE-GGA) results for RbSbF3 after structural relaxation.

## Properties
Total energy, eV/atom: -4.17
Fermi-level density of states, states/eV per atom: 0.636
Formation energy from raw total energies, eV/atom: -2.0329
E above lowest polymorph, meV per atom: 287
Spin magnetization, μB/cell: 0.0

Cell: 4.736 4.736 4.736 Å, 90.00 90.00 90.00°
Fractional coordinates of all 5 atoms:
Sb1 0.000 0.000 0.000
Rb1 0.500 0.500 0.500
F1 0.000 0.500 0.000
F2 0.000 0.000 0.500
F3 0.500 0.000 0.000